The following is a PBE calculation of an optimized crystal structure of Cd2NiSnMo, from the Alexandria database.

Unit cell a=5.3517 b=5.3517 c=4.4593 alpha=90.00 beta=90.00 gamma=90.00
Closest atoms and distances in Å follow each position.
Space group P4/mmm (No. 123)
Asymmetric unit:
Cd (0.0000, 0.5000, 0.0000) x2  2 Mo 2.68
Ni (0.0000, 0.0000, 0.5000) x1  2 Mo 2.23
Sn (0.5000, 0.5000, 0.5000) x1  8 Cd 3.48, 4 Ni 3.78
Mo (0.0000, 0.0000, 0.0000) x1  2 Ni 2.23

For the total energy, the calculation gives -17.27 eV/f.u. As for the density of states at the Fermi level: 4.60 states/eV per cell. For the calculated volume, the calculation gives 25.5 A^3/atom.